# Be2RhPb, PBEsol geometry, DFT meta-GGA SCAN
data_Be2RhPb
_chemical_formula_sum 'Be2 Rh1 Pb1'
_cell_length_a 3.7156
_cell_length_b 3.6437
_cell_length_c 4.8760
_cell_angle_alpha 111.94
_cell_angle_beta 112.40
_cell_angle_gamma 90.00
_space_group_name_H-M_alt 'P 1'
_space_group_IT_number 1
loop_
_space_group_symop_operation_xyz
'x,y,z'
loop_
_atom_site_label
_atom_site_type_symbol
_atom_site_fract_x
_atom_site_fract_y
_atom_site_fract_z
Be1 Be 0.7325 0.2325 0.4650
Be2 Be 0.0530 0.0530 0.1060
Pb1 Pb 0.4833 0.4833 0.9666
Rh1 Rh 0.2312 0.7312 0.4623
# Energy of formation (eV per atom): 0.115
# DOS at the Fermi energy (states/eV/atom): 0.2259
# Raw total energy (eV per atom): -29.450
# Space group: Imm2
# Calculated density (g cm⁻³): 9.76

---

# La2IrAu, PBEsol geometry, DFT meta-GGA SCAN
data_La2IrAu
_chemical_formula_sum 'La2 Ir1 Au1'
_cell_length_a 4.9182
_cell_length_b 4.9182
_cell_length_c 4.9182
_cell_angle_alpha 60.00
_cell_angle_beta 60.00
_cell_angle_gamma 60.00
_space_group_name_H-M_alt 'P 1'
_space_group_IT_number 1
loop_
_space_group_symop_operation_xyz
'x,y,z'
loop_
_atom_site_label
_atom_site_type_symbol
_atom_site_fract_x
_atom_site_fract_y
_atom_site_fract_z
La1 La 0.0000 0.0000 0.0000
La2 La 0.7500 0.7500 0.7500
Ir1 Ir 0.2500 0.2500 0.2500
Au1 Au 0.5000 0.5000 0.5000
# Energy of formation (eV per atom): -0.589
# DOS at the Fermi energy (states/eV/atom): 0.9441
# Raw total energy (eV per atom): -57.205
# Space group: F-43m
# Calculated density (g cm⁻³): 13.17

---

# CaOsRuSe2, PBEsol geometry, DFT meta-GGA SCAN
data_CaOsRuSe2
_chemical_formula_sum 'Ca1 Os1 Ru1 Se2'
_cell_length_a 4.7098
_cell_length_b 4.8715
_cell_length_c 4.8715
_cell_angle_alpha 90.00
_cell_angle_beta 90.00
_cell_angle_gamma 90.00
_space_group_name_H-M_alt 'P 1'
_space_group_IT_number 1
loop_
_space_group_symop_operation_xyz
'x,y,z'
loop_
_atom_site_label
_atom_site_type_symbol
_atom_site_fract_x
_atom_site_fract_y
_atom_site_fract_z
Ru1 Ru 0.5000 0.0000 0.0000
Os1 Os 0.0000 0.0000 0.0000
Ca1 Ca 0.5000 0.5000 0.5000
Se1 Se 0.0000 0.5000 0.0000
Se2 Se 0.0000 0.0000 0.5000
# DOS at the Fermi energy (states/eV/atom): 0.8889
# Raw formation energy (eV/atom): 0.32
# Raw total energy (eV per atom): -30.988
# Space group: P4/mmm
# Calculated density (g cm⁻³): 7.27

---

# Zn3Ag5, PBEsol geometry, DFT meta-GGA SCAN
data_Zn3Ag5
_chemical_formula_sum 'Zn6 Ag10'
_cell_length_a 5.0909
_cell_length_b 7.4705
_cell_length_c 7.4705
_cell_angle_alpha 83.33
_cell_angle_beta 70.08
_cell_angle_gamma 70.08
_space_group_name_H-M_alt 'P 1'
_space_group_IT_number 1
loop_
_space_group_symop_operation_xyz
'x,y,z'
loop_
_atom_site_label
_atom_site_type_symbol
_atom_site_fract_x
_atom_site_fract_y
_atom_site_fract_z
Zn1 Zn 0.2500 0.0000 0.0000
Zn2 Zn 0.1668 0.5000 0.1664
Zn3 Zn 0.8332 0.5000 0.8336
Zn4 Zn 0.6668 0.1664 0.5000
Zn5 Zn 0.7500 0.0000 0.0000
Zn6 Zn 0.3332 0.8336 0.5000
Ag1 Ag 0.2500 0.5000 0.5000
Ag2 Ag 0.5762 0.6992 0.1484
Ag3 Ag 0.4238 0.3008 0.8516
Ag4 Ag 0.0762 0.1484 0.6992
Ag5 Ag 0.7754 0.3008 0.1484
Ag6 Ag 0.2754 0.1484 0.3008
Ag7 Ag 0.2246 0.6992 0.8516
Ag8 Ag 0.9238 0.8516 0.3008
Ag9 Ag 0.7246 0.8516 0.6992
Ag10 Ag 0.7500 0.5000 0.5000
# Energy of formation (eV per atom): 0.020
# DOS at the Fermi energy (states/eV/atom): 0.2865
# Raw total energy (eV per atom): -24.653
# Space group: I4/mcm
# Calculated density (g cm⁻³): 9.73

---

# Tl2As2Pb, PBEsol geometry, DFT meta-GGA SCAN
data_Tl2As2Pb
_chemical_formula_sum 'Tl4 As4 Pb2'
_cell_length_a 4.8891
_cell_length_b 7.4567
_cell_length_c 7.4567
_cell_angle_alpha 90.00
_cell_angle_beta 90.00
_cell_angle_gamma 90.00
_space_group_name_H-M_alt 'P 1'
_space_group_IT_number 1
loop_
_space_group_symop_operation_xyz
'x,y,z'
loop_
_atom_site_label
_atom_site_type_symbol
_atom_site_fract_x
_atom_site_fract_y
_atom_site_fract_z
As1 As 0.0000 0.3853 0.8853
As2 As 0.0000 0.1147 0.3853
As3 As 0.0000 0.8853 0.6147
As4 As 0.0000 0.6147 0.1147
Pb1 Pb 0.0000 0.5000 0.5000
Pb2 Pb 0.0000 0.0000 0.0000
Tl1 Tl 0.5000 0.8212 0.3212
Tl2 Tl 0.5000 0.1788 0.6788
Tl3 Tl 0.5000 0.6788 0.8212
Tl4 Tl 0.5000 0.3212 0.1788
# Energy of formation (eV per atom): 0.051
# DOS at the Fermi energy (states/eV/atom): 0.2510
# Raw total energy (eV per atom): -52.125
# Space group: P4/mbm
# Calculated density (g cm⁻³): 9.36

---

# MgSc2InSi, PBEsol geometry, DFT meta-GGA SCAN
data_MgSc2InSi
_chemical_formula_sum 'Mg1 Sc2 In1 Si1'
_cell_length_a 4.9591
_cell_length_b 5.2481
_cell_length_c 5.2481
_cell_angle_alpha 90.00
_cell_angle_beta 90.00
_cell_angle_gamma 90.00
_space_group_name_H-M_alt 'P 1'
_space_group_IT_number 1
loop_
_space_group_symop_operation_xyz
'x,y,z'
loop_
_atom_site_label
_atom_site_type_symbol
_atom_site_fract_x
_atom_site_fract_y
_atom_site_fract_z
Si1 Si 0.5000 0.5000 0.5000
In1 In 0.0000 0.0000 0.0000
Mg1 Mg 0.5000 0.0000 0.0000
Sc1 Sc 0.0000 0.5000 0.0000
Sc2 Sc 0.0000 0.0000 0.5000
# DOS at the Fermi energy (states/eV/atom): 0.5492
# Raw formation energy (eV/atom): 0.51
# Raw total energy (eV per atom): -14.858
# Space group: P4/mmm
# Calculated density (g cm⁻³): 3.13